(1)
VASP calculation (PBE-GGA) on an optimized crystal structure of Na2MnAs2.

Computed properties:
Energy   -44.7 eV for the cell shown
Formation energy from the elements   -250 meV per atom

Cell and atoms, written as CIF:
```
data_Na2MnAs2
_space_group_name_H-M_alt 'P 4/m b m'
_space_group_IT_number 127
_space_group_name_Hall '-P 4 2ab'
_cell_length_a 6.433
_cell_length_b 6.433
_cell_length_c 4.919
_cell_angle_alpha 90.00
_cell_angle_beta 90.00
_cell_angle_gamma 90.00
loop_
_atom_site_label
_atom_site_type_symbol
_atom_site_fract_x
_atom_site_fract_y
_atom_site_fract_z
Na1 Na 0.171 0.329 0.000
Mn1 Mn 0.000 0.000 0.500
As1 As 0.144 0.644 0.500
```



(2)
VASP calculation (PBE-GGA) on an optimized crystal structure of Na2Mn2As3.

Computed properties:
Energy   -36.3 eV for the cell shown
Formation energy from the elements   -194 meV per atom

Cell and atoms, written as CIF:
```
data_Na2Mn2As3
_space_group_name_H-M_alt 'P -1'
_space_group_IT_number 2
_cell_length_a 3.548
_cell_length_b 5.463
_cell_length_c 7.814
_cell_angle_alpha 100.77
_cell_angle_beta 90.02
_cell_angle_gamma 108.94
loop_
_space_group_symop_operation_xyz
'x,y,z'
'-x,-y,-z'
loop_
_atom_site_label
_atom_site_type_symbol
_atom_site_fract_x
_atom_site_fract_y
_atom_site_fract_z
Na1 Na 0.120 0.239 0.366
Mn1 Mn 0.349 0.697 0.026
As1 As 0.000 0.000 0.000
As2 As 0.180 0.360 0.762
```



(3)
VASP calculation (PBE-GGA) on an optimized crystal structure of NaMnAs.

Computed properties:
Energy   -32.0 eV for the cell shown
Formation energy from the elements   -293 meV per atom

Cell and atoms, written as CIF:
```
data_NaMnAs
_space_group_name_H-M_alt 'P 4/n m m'
_space_group_IT_number 129
_cell_length_a 3.875
_cell_length_b 3.875
_cell_length_c 7.417
_cell_angle_alpha 90.00
_cell_angle_beta 90.00
_cell_angle_gamma 90.00
loop_
_space_group_symop_operation_xyz
'x,y,z'
'-x,-y,-z'
'-y+1/2,x,z'
'y+1/2,-x,-z'
'-x+1/2,-y+1/2,z'
'x+1/2,y+1/2,-z'
'y,-x+1/2,z'
'-y,x+1/2,-z'
'x+1/2,-y,-z'
'-x+1/2,y,z'
'-y,-x,-z'
'y,x,z'
'-x,y+1/2,-z'
'x,-y+1/2,z'
'y+1/2,x+1/2,-z'
'-y+1/2,-x+1/2,z'
loop_
_atom_site_label
_atom_site_type_symbol
_atom_site_fract_x
_atom_site_fract_y
_atom_site_fract_z
Na1 Na 0.250 0.250 0.146
Mn1 Mn 0.250 0.750 0.500
As1 As 0.250 0.250 0.701
```